{"formula": "ReSI", "functional": "GGA-PBE", "state": "relaxed", "de_polymorph_mev_per_atom": 307, "spacegroup": "C2/m", "formation_energy_uncorrected_ev_per_fu": 0.712, "lattice_angstrom": [[6.4805, -1.7588, 0.0000], [6.4805, 1.7588, 0.0000], [-1.9493, 0.0000, 7.1184]], "species": ["Re", "Re", "S", "S", "I", "I"], "fractional_positions": [[0.0985, 0.0985, 0.4821], [0.9015, 0.9015, 0.5179], [0.0554, 0.0554, 0.7594], [0.9446, 0.9446, 0.2406], [0.3112, 0.3112, 0.7146], [0.6888, 0.6888, 0.2854]]}

---

{"formula": "ReSI", "functional": "GGA-PBE", "state": "relaxed", "de_polymorph_mev_per_atom": 0, "spacegroup": "C2/m", "formation_energy_uncorrected_ev_per_fu": -0.208, "lattice_angstrom": [[6.5256, -1.6402, 0.0000], [6.5256, 1.6402, 0.0000], [-1.5409, 0.0000, 7.3076]], "species": ["Re", "Re", "S", "S", "I", "I"], "fractional_positions": [[0.1608, 0.1608, 0.4745], [0.8392, 0.8392, 0.5255], [0.2992, 0.2992, 0.7250], [0.7008, 0.7008, 0.2750], [0.0417, 0.0417, 0.7394], [0.9583, 0.9583, 0.2606]]}

---

{"formula": "Re2S4I", "functional": "GGA-PBE", "state": "relaxed", "spacegroup": "Cc", "formation_energy_uncorrected_ev_per_fu": 0.580, "lattice_angstrom": [[4.9846, -4.7923, 0.0000], [4.9846, 4.7923, 0.0000], [-4.8342, 0.0000, 5.9904]], "species": ["Re", "Re", "Re", "Re", "S", "S", "S", "S", "S", "S", "S", "S", "I", "I"], "fractional_positions": [[0.0141, 0.9859, 0.5000], [0.4077, 0.9808, 0.4833], [0.9808, 0.4077, 0.9833], [0.9859, 0.0141, 0.0000], [0.1522, 0.2024, 0.4058], [0.1760, 0.6791, 0.4087], [0.2024, 0.1522, 0.9058], [0.2361, 0.7580, 0.0929], [0.6791, 0.1760, 0.9087], [0.7580, 0.2361, 0.5929], [0.7631, 0.8242, 0.5920], [0.8242, 0.7631, 0.0920], [0.4300, 0.6551, 0.7692], [0.6551, 0.4300, 0.2692]]}

---

{"formula": "ReSI", "functional": "GGA-PBE", "state": "relaxed", "de_polymorph_mev_per_atom": 181, "spacegroup": "P1", "formation_energy_uncorrected_ev_per_fu": 0.335, "lattice_angstrom": [[3.5168, 0.0000, 0.0000], [-1.5462, 7.5219, 0.0000], [-1.5669, -3.2038, 7.6526]], "species": ["Re", "Re", "S", "S", "I", "I"], "fractional_positions": [[0.0000, 0.0000, 0.0000], [0.2252, 0.9986, 0.7583], [0.6231, 0.2265, 0.0406], [0.8038, 0.1272, 0.6395], [0.0728, 0.6399, 0.5433], [0.4287, 0.7719, 0.0944]]}

---

Number 1 is which compound? ReSI

---

What is the formula in the third record? Re2S4I